Density functional theory data (PBE) for TaCd2SnSb after structural relaxation.

Calculated values
Its volume is 30.08 Å³ per atom. The total energy is -3.27 eV per atom. Its formation energy from raw total energies is 1.094 eV per atom. The distance to the lowest polymorph of the same formula is 0 meV/atom. As for the density of states at the Fermi level: 3.4 states/eV per cell.

Cell lengths 5.2807, 5.2807, 5.3934 Å; angles 90.00, 90.00, 90.00 degrees
Last column: nearest neighbours and their distance in Å.
Sites, in units of the cell vectors:
Ta: 0.0000 0.0000 0.0000  2 Sn 2.70
Cd: 0.0000 0.5000 0.5000  2 Sn 2.64
Cd: 0.5000 0.0000 0.5000  2 Sn 2.64
Sn: 0.0000 0.0000 0.5000  4 Cd 2.64, 2 Ta 2.70
Sb: 0.5000 0.5000 0.0000  4 Ta 3.73, 8 Cd 3.77